--- 1 ---
PBE Pm2Er3Al3, relaxed; spin magnetization = 0.00 Bohr magnetons per cell; ρ = 7.1 g cm⁻³; symmetry = Pmmm (47)
1.0
4.799 0.000 0.000
0.000 4.814 0.000
0.000 0.000 8.884
Pm Er Al
2 3 3
Direct
0.000 0.000 0.235 Pm
0.000 0.000 0.765 Pm
0.500 0.000 0.500 Er
0.500 0.500 0.222 Er
0.500 0.500 0.778 Er
0.000 0.500 0.000 Al
0.000 0.500 0.500 Al
0.500 0.000 0.000 Al


--- 2 ---
PBE Pm2Er3Al3, relaxed; spin magnetization = 0.00 Bohr magnetons per cell; ρ = 7.1 g cm⁻³; symmetry = Immm (71)
1.0
-1.845 2.555 10.895
1.845 -2.555 10.895
1.845 2.555 -10.895
Pm Er Al
2 3 3
Direct
0.229 0.229 0.000 Pm
0.771 0.771 0.000 Pm
0.000 0.000 0.000 Er
0.383 0.883 0.500 Er
0.617 0.117 0.500 Er
0.112 0.612 0.500 Al
0.500 0.500 0.000 Al
0.888 0.388 0.500 Al


Verdict on stability: 1 comes out at the bottom.


--- 1 ---
PBE PmEr3Al8, relaxed; spin magnetization = 0.00 Bohr magnetons per cell; ρ = 5.9 g cm⁻³; symmetry = P3m1 (156)
1.0
5.554 0.000 0.000
-2.777 4.810 0.000
0.000 0.000 9.119
Pm Er Al
1 3 8
Direct
0.000 0.000 0.000 Pm
0.000 0.000 0.365 Er
0.667 0.333 0.499 Er
0.667 0.333 0.863 Er
0.162 0.324 0.680 Al
0.162 0.838 0.680 Al
0.333 0.667 0.434 Al
0.333 0.667 0.931 Al
0.505 0.009 0.185 Al
0.505 0.495 0.185 Al
0.676 0.838 0.680 Al
0.991 0.495 0.185 Al


--- 2 ---
PBE PmEr3Al8, relaxed; spin magnetization = 0.00 Bohr magnetons per cell; ρ = 5.9 g cm⁻³; symmetry = R3m (160)
1.0
2.776 1.603 9.119
-2.776 1.603 9.119
0.000 -3.206 9.119
Pm Er Al
1 3 8
Direct
0.000 0.000 0.000 Pm
0.125 0.125 0.125 Er
0.501 0.501 0.501 Er
0.624 0.624 0.624 Er
0.062 0.062 0.561 Al
0.062 0.561 0.062 Al
0.064 0.563 0.563 Al
0.312 0.312 0.312 Al
0.561 0.062 0.062 Al
0.563 0.064 0.563 Al
0.563 0.563 0.064 Al
0.813 0.813 0.813 Al


Verdict on stability: 1 comes out at the bottom.


--- 1 ---
PBE Pm3ErAl, relaxed; spin magnetization = 0.00 Bohr magnetons per cell; ρ = 6.9 g cm⁻³; symmetry = C2/m (12)
1.0
6.582 -1.831 0.000
6.582 1.831 0.000
-1.226 0.000 12.479
Pm Er Al
6 2 2
Direct
0.037 0.037 0.196 Pm
0.142 0.142 0.447 Pm
0.363 0.363 0.021 Pm
0.637 0.637 0.979 Pm
0.858 0.858 0.553 Pm
0.963 0.963 0.804 Pm
0.219 0.219 0.746 Er
0.781 0.781 0.254 Er
0.447 0.447 0.379 Al
0.553 0.553 0.621 Al


--- 2 ---
PBE Pm3ErAl, relaxed; spin magnetization = 0.00 Bohr magnetons per cell; ρ = 6.5 g cm⁻³; symmetry = P6_3/mmc (194)
1.0
8.008 0.000 0.000
-4.004 6.935 0.000
0.000 0.000 5.805
Pm Er Al
6 2 2
Direct
0.190 0.380 0.250 Pm
0.190 0.810 0.250 Pm
0.380 0.190 0.750 Pm
0.620 0.810 0.250 Pm
0.810 0.190 0.750 Pm
0.810 0.620 0.750 Pm
0.333 0.667 0.750 Er
0.667 0.333 0.250 Er
0.000 0.000 0.000 Al
0.000 0.000 0.500 Al


Verdict on stability: 2 comes out at the bottom.